Entry 1:
# ZrTe2 GGA-PBE optimized geometry
data_ZrTe2
_cell_length_a 8.237
_cell_length_b 8.237
_cell_length_c 3.897
_cell_angle_alpha 90.00
_cell_angle_beta 90.00
_cell_angle_gamma 120.00
_space_group_name_H-M_alt 'P 1'
_space_group_IT_number 1
loop_
_space_group_symop_operation_xyz
'x,y,z'
loop_
_atom_site_label
_atom_site_type_symbol
_atom_site_fract_x
_atom_site_fract_y
_atom_site_fract_z
Zr1 Zr 0.000 0.000 0.000
Zr2 Zr 0.333 0.667 0.500
Zr3 Zr 0.667 0.333 0.500
Te1 Te 0.000 0.274 0.500
Te2 Te 0.000 0.615 0.000
Te3 Te 0.274 0.000 0.500
Te4 Te 0.385 0.385 0.000
Te5 Te 0.615 0.000 0.000
Te6 Te 0.726 0.726 0.500
# - N(E_F): 0.293 states/eV per atom
# - Symmetry: No. 189


Entry 2:
# CoOsBr GGA-PBE optimized geometry
data_CoOsBr
_cell_length_a 8.885
_cell_length_b 8.885
_cell_length_c 3.715
_cell_angle_alpha 90.00
_cell_angle_beta 90.00
_cell_angle_gamma 156.09
_space_group_name_H-M_alt 'P 1'
_space_group_IT_number 1
loop_
_space_group_symop_operation_xyz
'x,y,z'
loop_
_atom_site_label
_atom_site_type_symbol
_atom_site_fract_x
_atom_site_fract_y
_atom_site_fract_z
Co1 Co 0.044 0.956 0.500
Co2 Co 0.956 0.044 0.000
Os1 Os 0.451 0.549 0.497
Os2 Os 0.549 0.451 0.997
Br1 Br 0.161 0.839 0.851
Br2 Br 0.839 0.161 0.351
# - N(E_F): 0.964 states/eV per atom
# - Symmetry: No. 36
# - Excess energy over the best structure of this formula in the dataset: 0.097 eV/f.u.


Entry 3:
# Sb2TeSe2 GGA-PBE optimized geometry
data_Sb2TeSe2
_cell_length_a 8.990
_cell_length_b 5.752
_cell_length_c 12.889
_cell_angle_alpha 90.00
_cell_angle_beta 90.00
_cell_angle_gamma 90.00
_space_group_name_H-M_alt 'P 1'
_space_group_IT_number 1
loop_
_space_group_symop_operation_xyz
'x,y,z'
loop_
_atom_site_label
_atom_site_type_symbol
_atom_site_fract_x
_atom_site_fract_y
_atom_site_fract_z
Sb1 Sb 0.151 0.250 0.093
Sb2 Sb 0.152 0.250 0.767
Sb3 Sb 0.348 0.750 0.267
Sb4 Sb 0.349 0.750 0.593
Sb5 Sb 0.651 0.250 0.407
Sb6 Sb 0.652 0.250 0.733
Sb7 Sb 0.848 0.750 0.233
Sb8 Sb 0.849 0.750 0.907
Te1 Te 0.138 0.750 0.430
Te2 Te 0.362 0.250 0.930
Te3 Te 0.638 0.750 0.070
Te4 Te 0.862 0.250 0.570
Se1 Se 0.094 0.750 0.106
Se2 Se 0.132 0.750 0.731
Se3 Se 0.368 0.250 0.231
Se4 Se 0.406 0.250 0.606
Se5 Se 0.594 0.750 0.394
Se6 Se 0.632 0.750 0.769
Se7 Se 0.868 0.250 0.269
Se8 Se 0.906 0.250 0.894
# - Symmetry: No. 62
# - Excess energy over the best structure of this formula in the dataset: 0.402 eV/f.u.


Entry 4:
# Sr2TeMo GGA-PBE optimized geometry
data_Sr2TeMo
_cell_length_a 4.513
_cell_length_b 4.513
_cell_length_c 8.812
_cell_angle_alpha 104.68
_cell_angle_beta 104.68
_cell_angle_gamma 59.80
_space_group_name_H-M_alt 'P 1'
_space_group_IT_number 1
loop_
_space_group_symop_operation_xyz
'x,y,z'
loop_
_atom_site_label
_atom_site_type_symbol
_atom_site_fract_x
_atom_site_fract_y
_atom_site_fract_z
Sr1 Sr 0.246 0.246 0.238
Sr2 Sr 0.754 0.754 0.762
Te1 Te 0.500 0.500 0.000
Mo1 Mo 0.000 0.000 0.500
# - N(E_F): 0.819 states/eV per atom
# - Symmetry: No. 12


no.,density (g/cm³),uncorrected formation energy (eV per formula unit)
1,7.5,-2.2
2,9.2,1.0
3,5.3,-0.7
4,4.5,0.9